{"formula": "Al3NiH", "functional": "PBEsol", "state": "relaxed", "lattice": [[3.867, 0.000, 0.000], [0.000, 3.867, 0.000], [0.000, 0.000, 3.867]], "species": ["Al", "Al", "Al", "Ni", "H"], "frac_coords": [[0.000, 0.000, 0.500], [0.000, 0.500, 0.000], [0.500, 0.000, 0.000], [0.500, 0.500, 0.500], [0.000, 0.000, 0.000]], "crystal_system": "cubic", "sg": "Pm-3m, No. 221", "final_energy_ev_per_atom": -4.333}

{"formula": "AlNi2H2", "functional": "PBEsol", "state": "relaxed", "lattice": [[-1.498, 1.498, 4.342], [1.498, -1.498, 4.342], [1.498, 1.498, -4.342]], "species": ["Al", "Ni", "Ni", "H", "H"], "frac_coords": [[0.000, 0.000, 0.000], [0.348, 0.348, 0.000], [0.652, 0.652, 0.000], [0.250, 0.750, 0.500], [0.750, 0.250, 0.500]], "crystal_system": "tetragonal", "sg": "I4/mmm, No. 139", "final_energy_ev_per_atom": -4.902}